VASP calculation (PBE with a Hubbard U) on a relaxed structure of MnSe2O8.

Unit cell a=6.476 b=6.476 c=4.774 alpha=96.85 beta=96.85 gamma=84.79
Atoms (fractional coordinates):
Mn 0.000 0.000 0.000
Se 0.201 0.201 0.656
Se 0.799 0.799 0.344
O 0.038 0.753 0.210
O 0.169 0.169 0.295
O 0.247 0.962 0.790
O 0.370 0.370 0.752
O 0.630 0.630 0.248
O 0.753 0.038 0.210
O 0.831 0.831 0.705
O 0.962 0.247 0.790

Calculated total energy, eV per atom: -5.549
Space group: No. 12
ρ, g/cm3: 2.9